# 1
SnHg3S | PBE-GGA | optimized geometry

The structure in POSCAR format:
```
SnHg3S
1.0
-2.374 -2.589 3.928
-3.159 -2.383 -3.480
3.486 -3.923 -0.478
Sn Hg S
1 3 1
Direct
0.500 0.500 0.500
0.000 0.000 0.500
0.000 0.500 0.000
0.500 0.000 0.000
0.000 0.000 0.000
```

## Properties
D(E_F)	0.426	states/eV/atom
total magnetic moment	0.000	Bohr magnetons per cell
ρ	8.54	g/cm3
space group	Pm-3m
ΔE_f (raw)	2.1	eV per formula unit
calculated total energy	-1.3863	eV/atom

# 2
SnHg2S | PBE-GGA | optimized geometry

The structure in POSCAR format:
```
SnHg2S
1.0
4.024 0.000 -0.564
0.000 4.119 0.000
0.000 0.000 14.108
Hg S Sn
4 2 2
Direct
0.403 0.750 0.805
0.045 0.750 0.089
0.955 0.250 0.911
0.597 0.250 0.195
0.710 0.750 0.417
0.290 0.250 0.583
0.194 0.250 0.396
0.806 0.750 0.604
```

## Properties
D(E_F)	0.084	states/eV/atom
total magnetic moment	0.000	Bohr magnetons per cell
ρ	7.84	g/cm3
space group	P2_1/m
ΔE_f (raw)	-0.8	eV per formula unit
calculated total energy	-2.3800	eV/atom

# 3
SnHgS2 | PBE-GGA | optimized geometry

The structure in POSCAR format:
```
SnHgS2
1.0
-1.971 1.234 -3.285
-1.504 -3.701 -0.488
-4.479 1.397 3.212
S Sn Hg
2 1 1
Direct
0.000 0.000 0.000
0.500 0.500 0.500
0.000 0.000 0.500
0.500 0.500 0.000
```

## Properties
D(E_F)	0.248	states/eV/atom
total magnetic moment	0.000	Bohr magnetons per cell
ρ	6.91	g/cm3
space group	P4/mmm
ΔE_f (raw)	-0.8	eV per formula unit
calculated total energy	-3.3409	eV/atom